[1]
A relaxed Na4Pu3NbN8 crystal, computed with PBE-GGA.

CIF file:
```
data_Na4Pu3NbN8
_cell_length_a 6.7670
_cell_length_b 6.7670
_cell_length_c 16.9830
_cell_angle_alpha 90.00
_cell_angle_beta 90.00
_cell_angle_gamma 120.00
_symmetry_space_group_name_H-M 'R -3 m'
_symmetry_Int_Tables_number 166
_symmetry_space_group_name_Hall '-R 3 2"'
loop_
_atom_site_label
_atom_site_fract_x
_atom_site_fract_y
_atom_site_fract_z
Na1 0.0000 0.0000 0.0000
Na2 0.0000 0.5000 0.0000
Pu1 0.0000 0.5000 0.5000
Nb1 0.0000 0.0000 0.5000
N1 0.0000 0.0000 0.2286
N2 0.0086 0.5043 0.2288
```

Output
Final energy ... -8.584 eV per atom
V ... 673.50 Å³/cell
M_tot ... 9.0 μB per formula unit

=====

[2]
A relaxed Na3Pu3NbN8 crystal, computed with PBE-GGA.

CIF file:
```
data_Na3Pu3NbN8
_cell_length_a 6.7432
_cell_length_b 6.7432
_cell_length_c 17.0823
_cell_angle_alpha 90.00
_cell_angle_beta 90.00
_cell_angle_gamma 120.00
_symmetry_space_group_name_H-M 'R -3 m'
_symmetry_Int_Tables_number 166
_symmetry_space_group_name_Hall '-R 3 2"'
loop_
_atom_site_label
_atom_site_fract_x
_atom_site_fract_y
_atom_site_fract_z
Na1 0.0000 0.5000 0.0000
Pu1 0.0000 0.5000 0.5000
Nb1 0.0000 0.0000 0.5000
N1 0.0000 0.0000 0.2289
N2 0.0086 0.5043 0.2257
```

Output
Final energy ... -8.961 eV per atom
V ... 672.69 Å³/cell
M_tot ... 8.0 μB per formula unit